Compound: ReHg2Se
Source: the Alexandria database
Functional: GGA-PBE
Structure: optimized geometry

Properties
Density of states at the Fermi level, states/eV per cell: 6.57
Raw total energy, eV/cell: -25.2
Crystal system: tetragonal
M_tot, μB/atom: 0.528

a = 4.312 Å, b = 4.312 Å, c = 8.544 Å
α = 90.00°, β = 90.00°, γ = 90.00°
Space group I-4m2 (No. 119)
Asymmetric unit:
Re 0.000 0.000 0.000 [2 per cell]
Hg 0.000 0.000 0.500 [2 per cell]
Hg 0.000 0.500 0.250 [2 per cell]
Se 0.000 0.500 0.750 [2 per cell]



Compound: ReHgSe2
Source: the Alexandria database
Functional: GGA-PBE
Structure: optimized geometry

Properties
Density of states at the Fermi level, states/eV per cell: 2.43
Raw total energy, eV/cell: -16.0
Crystal system: tetragonal
M_tot, μB/atom: 0.448

a = 4.872 Å, b = 4.872 Å, c = 3.210 Å
α = 90.00°, β = 90.00°, γ = 90.00°
Space group P4/mmm (No. 123)
Asymmetric unit:
Re 0.000 0.000 0.000 [1 per cell]
Hg 0.500 0.500 0.000 [1 per cell]
Se 0.000 0.500 0.500 [2 per cell]



Compound: ReHgSe2
Source: the Alexandria database
Functional: GGA-PBE
Structure: optimized geometry

Properties
Density of states at the Fermi level, states/eV per cell: 3.02
Raw total energy, eV/cell: -17.5
Crystal system: orthorhombic
M_tot, μB/atom: 0.000

a = 3.005 Å, b = 3.918 Å, c = 6.975 Å
α = 90.00°, β = 90.00°, γ = 90.00°
Space group Pmm2 (No. 25)
Asymmetric unit:
Re 0.000 0.000 0.000 [1 per cell]
Hg 0.500 0.500 0.697 [1 per cell]
Se 0.000 0.000 0.361 [1 per cell]
Se 0.500 0.500 0.122 [1 per cell]



Compound: ReHgSe2
Source: the Alexandria database
Functional: GGA-PBE
Structure: optimized geometry

Properties
Density of states at the Fermi level, states/eV per cell: 5.89
Raw total energy, eV/cell: -34.9
Crystal system: orthorhombic
M_tot, μB/atom: 0.000

a = 3.022 Å, b = 5.249 Å, c = 10.586 Å
α = 90.00°, β = 90.00°, γ = 90.00°
Space group Cmm2 (No. 35)
Asymmetric unit:
Re 0.000 0.000 0.000 [2 per cell]
Hg 0.000 0.500 0.234 [2 per cell]
Se 0.000 0.000 0.489 [2 per cell]
Se 0.000 0.500 0.819 [2 per cell]



Compound: ReHg2Se
Source: the Alexandria database
Functional: GGA-PBE
Structure: optimized geometry

Properties
Density of states at the Fermi level, states/eV per cell: 3.42
Raw total energy, eV/cell: -12.9
Crystal system: monoclinic
M_tot, μB/atom: 0.094

a = 3.058 Å, b = 5.682 Å, c = 4.640 Å
α = 90.00°, β = 91.63°, γ = 90.00°
Space group P2/m (No. 10)
Asymmetric unit:
Re 0.000 0.000 0.000 [1 per cell]
Hg 0.243 0.500 0.249 [2 per cell]
Se 0.500 0.000 0.500 [1 per cell]



Compound: ReHg2Se
Source: the Alexandria database
Functional: GGA-PBE
Structure: optimized geometry

Properties
Density of states at the Fermi level, states/eV per cell: 10.42
Raw total energy, eV/cell: -57.8
Crystal system: tetragonal
M_tot, μB/atom: 0.041

a = 10.566 Å, b = 10.566 Å, c = 4.667 Å
α = 90.00°, β = 90.00°, γ = 90.00°
Space group I-42d (No. 122)
Asymmetric unit:
Re 0.000 0.000 0.000 [4 per cell]
Hg 0.001 0.250 0.125 [8 per cell]
Se 0.000 0.000 0.500 [4 per cell]



Compound: Re3HgSe
Source: the Alexandria database
Functional: GGA-PBE
Structure: optimized geometry

Properties
Density of states at the Fermi level, states/eV per cell: 5.50
Raw total energy, eV/cell: -32.4
Crystal system: cubic
M_tot, μB/atom: 0.237
Energy above the most stable polymorph in this dataset, eV per atom: 0.000

a = 4.577 Å, b = 4.577 Å, c = 4.577 Å
α = 90.00°, β = 90.00°, γ = 90.00°
Space group Pm-3m (No. 221)
Asymmetric unit:
Re 0.000 0.000 0.500 [3 per cell]
Hg 0.500 0.500 0.500 [1 per cell]
Se 0.000 0.000 0.000 [1 per cell]



Compound: ReHg4Se
Source: the Alexandria database
Functional: GGA-PBE
Structure: optimized geometry

Properties
Density of states at the Fermi level, states/eV per cell: 12.66
Raw total energy, eV/cell: -41.3
Crystal system: cubic
M_tot, μB/atom: 0.000

a = 8.042 Å, b = 8.042 Å, c = 8.042 Å
α = 90.00°, β = 90.00°, γ = 90.00°
Space group F-43m (No. 216)
Asymmetric unit:
Re 0.000 0.000 0.000 [4 per cell]
Hg 0.126 0.126 0.374 [16 per cell]
Se 0.250 0.250 0.750 [4 per cell]